Below is crystalline La2CdCo at its relaxed geometry, with properties calculated at the PBE-GGA level.

Its crystal system is orthorhombic. The value obtained for the calculated volume is 102.8 Å³ per cell. The space group is No. 65. The formation energy from the elements is -0.6 eV per formula unit.

Unit cell a=3.5954 b=3.5954 c=7.9498 alpha=90.00 beta=90.00 gamma=90.10
Closest atoms and distances in Å follow each position.
Positions (direct):
La 0.0000 0.0000 0.2070  4 Co 3.03, 1 La 3.29
La 0.0000 0.0000 0.7930  4 Co 3.03, 1 La 3.29
Cd 0.5000 0.5000 0.5000  8 La 3.45, 4 Cd 3.60
Co 0.5000 0.5000 0.0000  8 La 3.03

---

Below is crystalline NaTm5Te6 at its relaxed geometry, with properties calculated at the PBE-GGA level.

Its crystal system is monoclinic. The value obtained for the calculated volume is 343.7 Å³ per cell. The space group is No. 12. The calculation puts the formation energy (no corrections) at -14.5 eV/f.u.

Unit cell a=7.4704 b=7.4704 c=7.5321 alpha=99.55 beta=99.55 gamma=119.94
Closest atoms and distances in Å follow each position.
Positions (direct):
Na 0.0000 0.0000 0.0000  6 Te 3.05-3.09
Tm 0.1617 0.8383 0.5000  6 Te 3.03-3.07
Tm 0.3346 0.6654 0.0000  6 Te 3.03-3.07
Tm 0.5000 0.5000 0.5000  6 Te 3.06-3.07
Tm 0.6654 0.3346 0.0000  6 Te 3.03-3.07
Tm 0.8383 0.1617 0.5000  6 Te 3.03-3.07
Te 0.0839 0.4207 0.2533  5 Tm 3.06-3.07, 1 Na 3.09
Te 0.2522 0.2522 0.7537  5 Tm 3.03-3.07, 1 Na 3.05
Te 0.4207 0.0839 0.2533  5 Tm 3.06-3.07, 1 Na 3.09
Te 0.5793 0.9161 0.7467  5 Tm 3.06-3.07, 1 Na 3.09
Te 0.7478 0.7478 0.2463  5 Tm 3.03-3.07, 1 Na 3.05
Te 0.9161 0.5793 0.7467  5 Tm 3.06-3.07, 1 Na 3.09

---

Below is crystalline HgRu5 at its relaxed geometry, with properties calculated at the PBE-GGA level.

Its crystal system is hexagonal. The value obtained for the calculated volume is 99.9 Å³ per cell. The space group is No. 191. The formation energy from the elements is 4.4 eV per formula unit.

Unit cell a=5.0369 b=5.0369 c=4.5459 alpha=90.00 beta=90.00 gamma=120.00
Closest atoms and distances in Å follow each position.
Positions (direct):
Hg 0.0000 0.0000 0.0000  6 Ru 2.91
Ru 0.0000 0.5000 0.5000  8 Ru 2.52-2.70
Ru 0.3333 0.6667 0.0000  9 Ru 2.70-2.91, 3 Hg 2.91
Ru 0.5000 0.0000 0.5000  8 Ru 2.52-2.70
Ru 0.5000 0.5000 0.5000  8 Ru 2.52-2.70
Ru 0.6667 0.3333 0.0000  9 Ru 2.70-2.91, 3 Hg 2.91

---

Below is crystalline LaPm6Al2 at its relaxed geometry, with properties calculated at the PBE-GGA level.

Its crystal system is monoclinic. The value obtained for the calculated volume is 280.5 Å³ per cell. The space group is No. 12. The formation energy from the elements is -1.3 eV per formula unit.

Unit cell a=6.7006 b=6.7006 c=12.0913 alpha=108.45 beta=108.45 gamma=33.19
Closest atoms and distances in Å follow each position.
Positions (direct):
La 0.0000 0.0000 0.0000  4 Al 3.29
Pm 0.0209 0.0209 0.3265  2 Al 3.16
Pm 0.3092 0.3092 0.1260  2 Al 3.19, 5 Pm 3.48-3.55
Pm 0.3132 0.3132 0.4155  2 Al 3.25, 4 Pm 3.48-3.56
Pm 0.6868 0.6868 0.5845  2 Al 3.25, 4 Pm 3.48-3.56
Pm 0.6908 0.6908 0.8740  2 Al 3.19, 5 Pm 3.48-3.55
Pm 0.9791 0.9791 0.6735  2 Al 3.16
Al 0.3466 0.3466 0.7867  6 Pm 3.16-3.25, 2 La 3.29
Al 0.6534 0.6534 0.2132  6 Pm 3.16-3.25, 2 La 3.29

---

Below is crystalline ZrInSb2 at its relaxed geometry, with properties calculated at the PBE-GGA level.

Its crystal system is trigonal. The value obtained for the calculated volume is 106.7 Å³ per cell. The space group is No. 166. The calculation puts the formation energy (no corrections) at -0.7 eV/f.u.

Unit cell a=11.1839 b=11.1839 c=11.1839 alpha=17.20 beta=17.20 gamma=17.20
Closest atoms and distances in Å follow each position.
Positions (direct):
Zr 0.0000 0.0000 0.0000  6 Sb 3.06, 6 Zr 3.34
In 0.5000 0.5000 0.5000  6 In 3.34, 6 Sb 3.68
Sb 0.2614 0.2614 0.2614  3 Zr 3.06, 6 Sb 3.34
Sb 0.7386 0.7386 0.7386  3 Zr 3.06, 6 Sb 3.34

---

Below is crystalline Li4BeAl at its relaxed geometry, with properties calculated at the PBE-GGA level.

Its crystal system is cubic. The value obtained for the calculated volume is 85.4 Å³ per cell. The space group is No. 216. The formation energy from the elements is 1.5 eV per formula unit.

Unit cell a=4.9435 b=4.9435 c=4.9435 alpha=60.00 beta=60.00 gamma=60.00
Closest atoms and distances in Å follow each position.
Positions (direct):
Li 0.1248 0.1248 0.1248  6 Li 2.47-2.48
Li 0.1248 0.1248 0.6257  6 Li 2.47-2.48
Li 0.1248 0.6257 0.1248  6 Li 2.47-2.48
Li 0.6257 0.1248 0.1248  6 Li 2.47-2.48
Be 0.7500 0.7500 0.7500  12 Li 2.90, 4 Al 3.03
Al 0.5000 0.5000 0.5000  12 Li 2.90, 4 Be 3.03